1.
9
Lattice="-1.367 3.710 6.702 1.367 -3.710 6.702 1.367 3.710 -6.702" Properties=species:S:1:pos:R:3 comment="IrRh6W2 PBE relaxed" total_magnetization_mub_per_fu=0.000 delta_e_f_ev_per_atom=0.027 energy_ev_per_atom=-8.737 density_g_cm3=14.39 pbc="T T T"
Ir 0.000 0.000 0.000
Rh 1.367 1.321 -2.320
Rh 1.367 1.321 2.320
Rh 1.367 0.000 4.798
Rh 0.000 3.710 1.904
Rh 0.000 2.388 4.381
Rh 0.000 2.388 9.022
W 1.367 2.348 0.000
W 0.000 1.362 6.702

=====

2.
8
Lattice="3.912 0.000 0.000 0.000 3.912 0.000 0.000 0.000 7.707" Properties=species:S:1:pos:R:3 comment="Ir2RhW PBE relaxed" relative_energy_ev_per_fu=0.08 total_magnetization_mub_per_fu=0.000 delta_e_f_ev_per_atom=-0.245 energy_ev_per_atom=-9.752 density_g_cm3=18.90 pbc="T T T"
Ir 0.000 1.956 1.927
Ir 0.000 1.956 5.780
Ir 1.956 0.000 1.927
Ir 1.956 0.000 5.780
Rh 0.000 0.000 0.000
Rh 1.956 1.956 3.854
W 0.000 0.000 3.854
W 1.956 1.956 0.000

=====

3.
4
Lattice="3.900 0.000 0.000 0.000 3.900 0.000 0.000 0.000 3.866" Properties=species:S:1:pos:R:3 comment="Ir2RhW PBE relaxed" relative_energy_ev_per_fu=0.00 total_magnetization_mub_per_fu=0.000 delta_e_f_ev_per_atom=-0.264 energy_ev_per_atom=-9.771 density_g_cm3=18.95 pbc="T T T"
Ir 0.000 1.950 0.000
Ir 1.950 0.000 0.000
Rh 0.000 0.000 1.933
W 1.950 1.950 1.933

=====

4.
11
Lattice="-2.127 3.119 6.362 2.127 -3.119 6.362 2.127 3.119 -6.362" Properties=species:S:1:pos:R:3 comment="Ir8RhW2 PBE relaxed" total_magnetization_mub_per_fu=0.000 delta_e_f_ev_per_atom=0.031 energy_ev_per_atom=-9.436 density_g_cm3=19.75 pbc="T T T"
Ir 2.127 1.793 -1.792
Ir 0.000 0.000 2.143
Ir 0.000 1.791 0.000
Ir 2.127 1.793 1.792
Ir 0.000 1.326 4.570
Ir 0.000 4.446 0.000
Ir 0.000 0.000 10.582
Ir 0.000 1.326 8.155
Rh 2.127 0.000 0.000
W 2.127 0.000 3.837
W 0.000 3.119 2.526

=====

5.
5
Lattice="4.701 0.000 0.000 0.000 4.701 0.000 0.000 0.000 4.701" Properties=species:S:1:pos:R:3 comment="IrRhW3 PBE relaxed" relative_energy_ev_per_fu=0.00 total_magnetization_mub_per_fu=0.000 delta_e_f_ev_per_atom=1.989 energy_ev_per_atom=-9.026 density_g_cm3=13.53 pbc="T T T"
Ir 0.000 0.000 0.000
Rh 2.350 2.350 2.350
W 0.000 0.000 2.350
W 0.000 2.350 0.000
W 2.350 0.000 0.000

=====

6.
12
Lattice="2.732 -6.750 0.000 2.732 6.750 0.000 0.000 0.000 4.915" Properties=species:S:1:pos:R:3 comment="Ir3Rh2W PBE relaxed" total_magnetization_mub_per_fu=0.000 delta_e_f_ev_per_atom=0.085 energy_ev_per_atom=-8.954 density_g_cm3=17.71 pbc="T T T"
Ir 1.368 2.456 3.686
Ir 2.732 4.727 3.686
Ir 1.368 -2.456 1.229
Ir 4.096 2.456 3.686
Ir 2.732 -4.727 1.229
Ir 4.096 -2.456 1.229
Rh 1.380 0.000 0.000
Rh 1.380 0.000 2.457
Rh 4.083 0.000 0.000
Rh 4.083 0.000 2.457
W 2.732 2.007 1.229
W 2.732 -2.007 3.686

=====

7.
14
Lattice="4.729 0.000 0.000 -2.331 6.817 0.000 -1.578 -2.735 6.621" Properties=species:S:1:pos:R:3 comment="Ir4Rh2W PBE relaxed" total_magnetization_mub_per_fu=0.000 delta_e_f_ev_per_atom=-0.029 energy_ev_per_atom=-9.043 density_g_cm3=18.02 pbc="T T T"
Ir 0.000 0.000 0.000
Ir -1.570 2.644 2.170
Ir 0.026 5.348 0.014
Ir 0.791 1.340 2.148
Ir -0.733 4.009 4.429
Ir 1.610 -0.041 4.410
Ir 0.826 1.268 6.611
Ir 3.152 -0.078 2.165
Rh -0.808 -1.386 4.451
Rh -0.789 1.289 4.433
Rh 0.805 4.023 2.155
Rh 1.619 2.672 4.429
W -1.538 5.389 2.202
W 0.799 -1.382 6.574

=====

8.
18
Lattice="5.039 0.000 0.000 -0.611 6.750 0.000 -1.853 -3.427 8.001" Properties=species:S:1:pos:R:3 comment="Ir6Rh2W PBE relaxed" total_magnetization_mub_per_fu=0.000 delta_e_f_ev_per_atom=0.120 energy_ev_per_atom=-8.860 density_g_cm3=18.83 pbc="T T T"
Ir -0.027 0.054 1.264
Ir -0.676 -1.451 5.368
Ir -1.156 0.885 6.586
Ir 0.697 4.337 1.404
Ir 1.264 1.983 2.655
Ir 0.065 3.312 6.676
Ir 2.510 0.011 1.324
Ir 1.311 1.340 5.345
Ir 1.877 -1.014 6.596
Ir 3.731 2.438 1.415
Ir 3.251 4.773 2.632
Ir 2.601 3.269 6.736
Rh -0.873 2.863 4.182
Rh 1.034 -0.594 3.586
Rh 1.541 3.917 4.414
Rh 3.448 0.459 3.819
W 1.311 2.153 0.009
W 1.264 1.170 7.992

=====

> Number 1 is which compound?

IrRh6W2

=====

> Which formula does entry 1 have?

IrRh6W2